Record 1
Material: AsOs3I
Method: DFT, GGA-PBE
State: optimized geometry

- Energy relative to the lowest polymorph listed for this composition: 921 meV per atom
- ΔE_f (raw): 2872 meV per atom
- Space group: No. 221

a = 4.8142 Å, b = 4.8142 Å, c = 4.8142 Å
α = 90.00°, β = 90.00°, γ = 90.00°
Closest atoms and distances in Å follow each position.
Atoms (fractional coordinates):
As 0.0000 0.0000 0.0000  12 Os 3.40
Os 0.0000 0.5000 0.5000  2 I 2.41
Os 0.5000 0.0000 0.5000  2 I 2.41
Os 0.5000 0.5000 0.0000  2 I 2.41
I 0.5000 0.5000 0.5000  6 Os 2.41

=====

Record 2
Material: AsOs2PbI
Method: DFT, GGA-PBE
State: optimized geometry

- ΔE_f (raw): 2489 meV per atom
- Space group: No. 123

a = 5.2327 Å, b = 5.2327 Å, c = 5.3997 Å
α = 90.00°, β = 90.00°, γ = 90.00°
Closest atoms and distances in Å follow each position.
Atoms (fractional coordinates):
As 0.0000 0.0000 0.0000  2 Pb 2.70
Os 0.0000 0.5000 0.5000  2 Pb 2.62
Os 0.5000 0.0000 0.5000  2 Pb 2.62
Pb 0.0000 0.0000 0.5000  4 Os 2.62, 2 As 2.70
I 0.5000 0.5000 0.0000  4 As 3.70, 8 Os 3.76

=====

Record 3
Material: AsOsPd2I
Method: DFT, GGA-PBE
State: optimized geometry

- ΔE_f (raw): 1367 meV per atom
- Space group: No. 123

a = 4.9423 Å, b = 4.9423 Å, c = 5.0324 Å
α = 90.00°, β = 90.00°, γ = 90.00°
Closest atoms and distances in Å follow each position.
Atoms (fractional coordinates):
As 0.0000 0.0000 0.0000  4 I 3.49, 8 Pd 3.53
Os 0.5000 0.5000 0.5000  4 Pd 2.47, 2 I 2.52
Pd 0.0000 0.5000 0.5000  2 Os 2.47
Pd 0.5000 0.0000 0.5000  2 Os 2.47
I 0.5000 0.5000 0.0000  2 Os 2.52

=====

Record 4
Material: Sb2AsOsI
Method: DFT, GGA-PBE
State: optimized geometry

- Energy relative to the lowest polymorph listed for this composition: 0 meV per atom
- ΔE_f (raw): 848 meV per atom
- Space group: No. 123

a = 5.0587 Å, b = 5.0587 Å, c = 5.5975 Å
α = 90.00°, β = 90.00°, γ = 90.00°
Closest atoms and distances in Å follow each position.
Atoms (fractional coordinates):
Sb 0.0000 0.5000 0.0000  2 Os 2.53
Sb 0.5000 0.0000 0.0000  2 Os 2.53
As 0.0000 0.0000 0.5000  4 I 3.58, 8 Sb 3.77
Os 0.5000 0.5000 0.0000  4 Sb 2.53, 2 I 2.80
I 0.5000 0.5000 0.5000  2 Os 2.80

=====

Record 5
Material: Sb2AsOsI
Method: DFT, GGA-PBE
State: optimized geometry

- Energy relative to the lowest polymorph listed for this composition: 842 meV per atom
- ΔE_f (raw): 1690 meV per atom
- Space group: No. 123

a = 5.3590 Å, b = 5.3590 Å, c = 5.3115 Å
α = 90.00°, β = 90.00°, γ = 90.00°
Closest atoms and distances in Å follow each position.
Atoms (fractional coordinates):
Sb 0.0000 0.5000 0.0000  2 As 2.68
Sb 0.5000 0.0000 0.0000  2 As 2.68
As 0.0000 0.0000 0.0000  2 I 2.66, 4 Sb 2.68
Os 0.5000 0.5000 0.5000  8 Sb 3.77, 4 I 3.79
I 0.0000 0.0000 0.5000  2 As 2.66

=====

Record 6
Material: AsOsSe2I
Method: DFT, GGA-PBE
State: optimized geometry

- Energy relative to the lowest polymorph listed for this composition: 0 meV per atom
- ΔE_f (raw): 560 meV per atom
- Space group: No. 123

a = 4.9802 Å, b = 4.9802 Å, c = 4.8466 Å
α = 90.00°, β = 90.00°, γ = 90.00°
Closest atoms and distances in Å follow each position.
Atoms (fractional coordinates):
As 0.0000 0.0000 0.0000  2 Os 2.42
Os 0.0000 0.0000 0.5000  2 As 2.42, 4 Se 2.49
Se 0.0000 0.5000 0.5000  2 Os 2.49
Se 0.5000 0.0000 0.5000  2 Os 2.49
I 0.5000 0.5000 0.0000  8 Se 3.47, 4 As 3.52

=====

Record 7
Material: As2OsSeI
Method: DFT, GGA-PBE
State: optimized geometry

- Energy relative to the lowest polymorph listed for this composition: 0 meV per atom
- ΔE_f (raw): 557 meV per atom
- Space group: No. 123

a = 4.7321 Å, b = 4.7321 Å, c = 5.4099 Å
α = 90.00°, β = 90.00°, γ = 90.00°
Closest atoms and distances in Å follow each position.
Atoms (fractional coordinates):
As 0.0000 0.5000 0.0000  2 Os 2.37
As 0.5000 0.0000 0.0000  2 Os 2.37
Os 0.0000 0.0000 0.0000  4 As 2.37
Se 0.0000 0.0000 0.5000  2 Os 2.70
I 0.5000 0.5000 0.5000  4 Se 3.35, 8 As 3.59

=====

Record 8
Material: Sr2AsOsI
Method: DFT, GGA-PBE
State: optimized geometry

- ΔE_f (raw): -565 meV per atom
- Space group: No. 123

a = 5.9955 Å, b = 5.9955 Å, c = 4.6198 Å
α = 90.00°, β = 90.00°, γ = 90.00°
Closest atoms and distances in Å follow each position.
Atoms (fractional coordinates):
Sr 0.0000 0.5000 0.0000  2 Os 3.00
Sr 0.5000 0.0000 0.0000  2 Os 3.00
As 0.0000 0.0000 0.5000  2 Os 2.31
Os 0.0000 0.0000 0.0000  2 As 2.31
I 0.5000 0.5000 0.5000  8 Sr 3.78

=====

Record 9
Material: SrAsOsI2
Method: DFT, GGA-PBE
State: optimized geometry

- ΔE_f (raw): 1231 meV per atom
- Space group: No. 123

a = 6.3020 Å, b = 6.3020 Å, c = 6.1851 Å
α = 90.00°, β = 90.00°, γ = 90.00°
Closest atoms and distances in Å follow each position.
Atoms (fractional coordinates):
Sr 0.0000 0.0000 0.0000  2 As 3.09, 4 I 3.15
As 0.0000 0.0000 0.5000  2 Sr 3.09
Os 0.5000 0.5000 0.5000  8 I 4.42, 4 As 4.46
I 0.0000 0.5000 0.0000  2 Sr 3.15
I 0.5000 0.0000 0.0000  2 Sr 3.15

=====

Record 10
Material: Te2AsOsI
Method: DFT, GGA-PBE
State: optimized geometry

- Energy relative to the lowest polymorph listed for this composition: 0 meV per atom
- ΔE_f (raw): 892 meV per atom
- Space group: No. 123

a = 5.1554 Å, b = 5.1554 Å, c = 5.4496 Å
α = 90.00°, β = 90.00°, γ = 90.00°
Closest atoms and distances in Å follow each position.
Atoms (fractional coordinates):
Te 0.0000 0.5000 0.0000  2 Os 2.58
Te 0.5000 0.0000 0.0000  2 Os 2.58
As 0.0000 0.0000 0.5000  4 I 3.65, 8 Te 3.75
Os 0.5000 0.5000 0.0000  4 Te 2.58, 2 I 2.72
I 0.5000 0.5000 0.5000  2 Os 2.72

=====

Record 11
Material: Te2AsOsI
Method: DFT, GGA-PBE
State: optimized geometry

- Energy relative to the lowest polymorph listed for this composition: 710 meV per atom
- ΔE_f (raw): 1602 meV per atom
- Space group: No. 123

a = 5.4742 Å, b = 5.4742 Å, c = 5.3868 Å
α = 90.00°, β = 90.00°, γ = 90.00°
Closest atoms and distances in Å follow each position.
Atoms (fractional coordinates):
Te 0.0000 0.5000 0.0000  2 As 2.74
Te 0.5000 0.0000 0.0000  2 As 2.74
As 0.0000 0.0000 0.0000  2 I 2.69, 4 Te 2.74
Os 0.5000 0.5000 0.5000  8 Te 3.84, 4 I 3.87
I 0.0000 0.0000 0.5000  2 As 2.69

=====

Record 12
Material: TiAsOs2I
Method: DFT, GGA-PBE
State: optimized geometry

- ΔE_f (raw): 1569 meV per atom
- Space group: No. 123

a = 4.7313 Å, b = 4.7313 Å, c = 4.7400 Å
α = 90.00°, β = 90.00°, γ = 90.00°
Closest atoms and distances in Å follow each position.
Atoms (fractional coordinates):
Ti 0.0000 0.0000 0.0000  4 Os 2.37, 2 As 2.37
As 0.0000 0.0000 0.5000  2 Ti 2.37
Os 0.0000 0.5000 0.0000  2 Ti 2.37
Os 0.5000 0.0000 0.0000  2 Ti 2.37
I 0.5000 0.5000 0.5000  4 As 3.35, 8 Os 3.35

=====

Record 13
Material: Zr2AsOsI
Method: DFT, GGA-PBE
State: optimized geometry

- ΔE_f (raw): 1364 meV per atom
- Space group: No. 123

a = 5.2351 Å, b = 5.2351 Å, c = 4.7744 Å
α = 90.00°, β = 90.00°, γ = 90.00°
Closest atoms and distances in Å follow each position.
Atoms (fractional coordinates):
Zr 0.0000 0.5000 0.0000  2 I 2.62
Zr 0.5000 0.0000 0.0000  2 I 2.62
As 0.0000 0.0000 0.5000  8 Zr 3.54, 4 Os 3.70
Os 0.5000 0.5000 0.5000  2 I 2.39
I 0.5000 0.5000 0.0000  2 Os 2.39, 4 Zr 2.62

=====

Record 14
Material: As4P2I3
Method: DFT, GGA-PBE
State: optimized geometry

- ΔE_f (raw): 81 meV per atom
- Space group: No. 15

a = 9.0649 Å, b = 9.0649 Å, c = 8.2309 Å
α = 97.43°, β = 97.43°, γ = 68.07°
Closest atoms and distances in Å follow each position.
Atoms (fractional coordinates):
As 0.0479 0.6651 0.5775  2 P 2.36-2.37, 1 As 2.62
As 0.1784 0.4536 0.7933  1 P 2.39, 1 As 2.62
As 0.3349 0.9521 0.9225  2 P 2.36-2.37, 1 As 2.62
As 0.4536 0.1784 0.2933  1 P 2.39, 1 As 2.62
As 0.5464 0.8216 0.7067  1 P 2.39, 1 As 2.62
As 0.6651 0.0479 0.0775  2 P 2.36-2.37, 1 As 2.62
As 0.8216 0.5464 0.2067  1 P 2.39, 1 As 2.62
As 0.9521 0.3349 0.4225  2 P 2.36-2.37, 1 As 2.62
P 0.1871 0.3923 0.5032  3 As 2.36-2.39
P 0.3923 0.1871 0.0032  3 As 2.36-2.39
P 0.6077 0.8129 0.9968  3 As 2.36-2.39
P 0.8129 0.6077 0.4968  3 As 2.36-2.39
I 0.0341 0.6890 0.1608  1 As 2.77
I 0.3110 0.9659 0.3392  1 As 2.77
I 0.4535 0.5465 0.7500  2 As 2.99
I 0.5465 0.4535 0.2500  2 As 2.99
I 0.6890 0.0341 0.6608  1 As 2.77
I 0.9659 0.3110 0.8392  1 As 2.77

=====

Record 15
Material: AsPI2
Method: DFT, GGA-PBE
State: optimized geometry

- Energy relative to the lowest polymorph listed for this composition: 140 meV per atom
- ΔE_f (raw): 923 meV per atom
- Space group: No. 225

a = 7.3435 Å, b = 7.3435 Å, c = 7.3435 Å
α = 90.00°, β = 90.00°, γ = 90.00°
Closest atoms and distances in Å follow each position.
Atoms (fractional coordinates):
As 0.0000 0.0000 0.0000  8 I 3.18
As 0.0000 0.5000 0.5000  8 I 3.18
As 0.5000 0.0000 0.5000  8 I 3.18
As 0.5000 0.5000 0.0000  8 I 3.18
P 0.0000 0.0000 0.5000  8 I 3.18
P 0.0000 0.5000 0.0000  8 I 3.18
P 0.5000 0.0000 0.0000  8 I 3.18
P 0.5000 0.5000 0.5000  8 I 3.18
I 0.2500 0.2500 0.2500  4 As 3.18, 4 P 3.18
I 0.2500 0.2500 0.7500  4 As 3.18, 4 P 3.18
I 0.2500 0.7500 0.2500  4 As 3.18, 4 P 3.18
I 0.2500 0.7500 0.7500  4 As 3.18, 4 P 3.18
I 0.7500 0.2500 0.2500  4 As 3.18, 4 P 3.18
I 0.7500 0.2500 0.7500  4 As 3.18, 4 P 3.18
I 0.7500 0.7500 0.2500  4 As 3.18, 4 P 3.18
I 0.7500 0.7500 0.7500  4 As 3.18, 4 P 3.18

=====

Record 16
Material: As3PI
Method: DFT, GGA-PBE
State: optimized geometry

- Energy relative to the lowest polymorph listed for this composition: 0 meV per atom
- ΔE_f (raw): 735 meV per atom
- Space group: No. 221

a = 4.9106 Å, b = 4.9106 Å, c = 4.9106 Å
α = 90.00°, β = 90.00°, γ = 90.00°
Closest atoms and distances in Å follow each position.
Atoms (fractional coordinates):
As 0.0000 0.0000 0.5000  2 P 2.46
As 0.0000 0.5000 0.0000  2 P 2.46
As 0.5000 0.0000 0.0000  2 P 2.46
P 0.0000 0.0000 0.0000  6 As 2.46
I 0.5000 0.5000 0.5000  12 As 3.47

=====

Record 17
Material: As2PI
Method: DFT, GGA-PBE
State: optimized geometry

- Energy relative to the lowest polymorph listed for this composition: 0 meV per atom
- ΔE_f (raw): 376 meV per atom
- Space group: No. 122

a = 7.1421 Å, b = 7.1421 Å, c = 8.5192 Å
α = 90.00°, β = 90.00°, γ = 90.00°
Closest atoms and distances in Å follow each position.
Atoms (fractional coordinates):
As 0.1768 0.7500 0.1250  2 P 2.43
As 0.2500 0.1768 0.8750  2 P 2.43
As 0.2500 0.3232 0.3750  2 P 2.43
As 0.3232 0.7500 0.6250  2 P 2.43
As 0.6768 0.2500 0.6250  2 P 2.43
As 0.7500 0.6768 0.3750  2 P 2.43
As 0.7500 0.8232 0.8750  2 P 2.43
As 0.8232 0.2500 0.1250  2 P 2.43
P 0.0000 0.0000 0.0000  4 As 2.43
P 0.0000 0.5000 0.2500  4 As 2.43
P 0.5000 0.0000 0.7500  4 As 2.43
P 0.5000 0.5000 0.5000  4 As 2.43
I 0.0000 0.0000 0.5000  4 As 3.11
I 0.0000 0.5000 0.7500  4 As 3.11
I 0.5000 0.0000 0.2500  4 As 3.11
I 0.5000 0.5000 0.0000  4 As 3.11

=====

Record 18
Material: As2PI
Method: DFT, GGA-PBE
State: optimized geometry

- Energy relative to the lowest polymorph listed for this composition: 447 meV per atom
- ΔE_f (raw): 824 meV per atom
- Space group: No. 225

a = 6.9748 Å, b = 6.9748 Å, c = 6.9748 Å
α = 90.00°, β = 90.00°, γ = 90.00°
Closest atoms and distances in Å follow each position.
Atoms (fractional coordinates):
As 0.2500 0.2500 0.2500  4 I 3.02, 4 P 3.02
As 0.2500 0.2500 0.7500  4 I 3.02, 4 P 3.02
As 0.2500 0.7500 0.2500  4 I 3.02, 4 P 3.02
As 0.2500 0.7500 0.7500  4 I 3.02, 4 P 3.02
As 0.7500 0.2500 0.2500  4 I 3.02, 4 P 3.02
As 0.7500 0.2500 0.7500  4 I 3.02, 4 P 3.02
As 0.7500 0.7500 0.2500  4 I 3.02, 4 P 3.02
As 0.7500 0.7500 0.7500  4 P 3.02, 4 I 3.02
P 0.0000 0.0000 0.0000  8 As 3.02
P 0.0000 0.5000 0.5000  8 As 3.02
P 0.5000 0.0000 0.5000  8 As 3.02
P 0.5000 0.5000 0.0000  8 As 3.02
I 0.0000 0.0000 0.5000  8 As 3.02
I 0.0000 0.5000 0.0000  8 As 3.02
I 0.5000 0.0000 0.0000  8 As 3.02
I 0.5000 0.5000 0.5000  8 As 3.02

=====

Record 19
Material: As3PI
Method: DFT, GGA-PBE
State: optimized geometry

- Energy relative to the lowest polymorph listed for this composition: 990 meV per atom
- ΔE_f (raw): 1725 meV per atom
- Space group: No. 221

a = 5.3079 Å, b = 5.3079 Å, c = 5.3079 Å
α = 90.00°, β = 90.00°, γ = 90.00°
Closest atoms and distances in Å follow each position.
Atoms (fractional coordinates):
As 0.0000 0.0000 0.5000  2 I 2.65
As 0.0000 0.5000 0.0000  2 I 2.65
As 0.5000 0.0000 0.0000  2 I 2.65
P 0.5000 0.5000 0.5000  12 As 3.75
I 0.0000 0.0000 0.0000  6 As 2.65

=====

Record 20
Material: AsPI2
Method: DFT, GGA-PBE
State: optimized geometry

- Energy relative to the lowest polymorph listed for this composition: 0 meV per atom
- ΔE_f (raw): 783 meV per atom
- Space group: No. 122

a = 7.7185 Å, b = 7.7185 Å, c = 8.0602 Å
α = 90.00°, β = 90.00°, γ = 90.00°
Closest atoms and distances in Å follow each position.
Atoms (fractional coordinates):
As 0.0000 0.0000 0.0000  4 I 2.95
As 0.0000 0.5000 0.2500  4 I 2.95
As 0.5000 0.0000 0.7500  4 I 2.95
As 0.5000 0.5000 0.5000  4 I 2.95
P 0.0000 0.0000 0.5000  4 I 2.87
P 0.0000 0.5000 0.7500  4 I 2.87
P 0.5000 0.0000 0.2500  4 I 2.87
P 0.5000 0.5000 0.0000  4 I 2.87
I 0.2427 0.2500 0.6250  2 P 2.87, 2 As 2.95
I 0.2500 0.7427 0.8750  2 P 2.87, 2 As 2.95
I 0.2500 0.7573 0.3750  2 P 2.87, 2 As 2.95
I 0.2573 0.2500 0.1250  2 P 2.87, 2 As 2.95
I 0.7427 0.7500 0.1250  2 P 2.87, 2 As 2.95
I 0.7500 0.2427 0.3750  2 P 2.87, 2 As 2.95
I 0.7500 0.2573 0.8750  2 P 2.87, 2 As 2.95
I 0.7573 0.7500 0.6250  2 P 2.87, 2 As 2.95